Entry 1:
The following is a GGA-PBE calculation of a relaxed structure of Tb9SmTh2, from Alexandria via LeMat-Bulk.

a = 5.0449 Å, b = 5.0449 Å, c = 15.1174 Å
α = 90.00°, β = 90.00°, γ = 90.00°
Space group P4/mmm (No. 123)
Unique sites:
Tb  0.0000  0.0000  0.0000 [1 per cell]
Tb  0.0000  0.0000  0.3335 [2 per cell]
Tb  0.0000  0.5000  0.1696 [4 per cell]
Tb  0.0000  0.5000  0.5000 [2 per cell]
Sm  0.5000  0.5000  0.0000 [1 per cell]
Th  0.5000  0.5000  0.3344 [2 per cell]

Summary:
**Calculated volume**: 385 Å³/cell
**Energy**: -5.072 eV per atom
**Calculated formation energy**: 0.03 eV/atom

***

Entry 2:
The following is a GGA-PBE calculation of a relaxed structure of NpCu2F8, from Alexandria via LeMat-Bulk.

a = 9.6783 Å, b = 7.7243 Å, c = 4.3257 Å
α = 90.00°, β = 91.32°, γ = 90.00°
Space group C2/m (No. 12)
Unique sites:
Np  0.0000  0.0000  0.0000 [2 per cell]
Cu  0.1110  0.5000  0.2604 [4 per cell]
F  0.0907  0.5000  0.7544 [4 per cell]
F  0.0938  0.1979  0.2525 [8 per cell]
F  0.1895  0.0000  0.7430 [4 per cell]

Summary:
**Calculated volume**: 323 Å³/cell
**Raw formation energy**: -2.381 eV/atom
**Energy**: -5.663 eV per atom

***

Entry 3:
The following is a GGA-PBE calculation of a relaxed structure of Ca6TlZn5, from Alexandria via LeMat-Bulk.

a = 5.2191 Å, b = 7.5575 Å, c = 8.2332 Å
α = 90.00°, β = 108.40°, γ = 90.00°
Space group P2/m (No. 10)
Unique sites:
Ca  0.0000  0.2417  0.0000 [2 per cell]
Ca  0.3306  0.2452  0.6614 [4 per cell]
Tl  0.5000  0.5000  0.0000 [1 per cell]
Zn  0.1646  0.5000  0.3281 [2 per cell]
Zn  0.1662  0.0000  0.3312 [2 per cell]
Zn  0.5000  0.0000  0.0000 [1 per cell]

Summary:
**Calculated volume**: 308 Å³/cell
**Energy**: -2.000 eV per atom
**Calculated formation energy**: -0.27 eV/atom

***

> Which of these has the lowest calculated volume?

Ca6TlZn5